This record from Alexandria describes an optimized crystal structure of Ta2SiI. The functional is PBE-GGA.

Computed properties:
ΔE to the lowest computed polymorph = 359.9 meV per atom
magnetic moment = 0.0 μB per formula unit

Cell: 4.188 4.188 18.676 Å, 90.00 90.00 90.00°
Space group I-42d (No. 122)
Unique sites:
Ta 0.231 0.250 0.125 [8 per cell]
Si 0.000 0.000 0.000 [4 per cell]
I 0.000 0.000 0.500 [4 per cell]



This record from Alexandria describes an optimized crystal structure of TaSi2I. The functional is PBE-GGA.

Computed properties:
ΔE to the lowest computed polymorph = 15.5 meV per atom
magnetic moment = 0.0 μB per formula unit

Cell: 6.672 6.672 6.672 Å, 90.00 90.00 90.00°
Space group Fm-3m (No. 225)
Unique sites:
Ta 0.000 0.000 0.000 [4 per cell]
Si 0.250 0.250 0.250 [8 per cell]
I 0.000 0.000 0.500 [4 per cell]



This record from Alexandria describes an optimized crystal structure of Ta2SiI. The functional is PBE-GGA.

Computed properties:
ΔE to the lowest computed polymorph = 0.0 meV per atom
magnetic moment = 0.0 μB per formula unit

Cell: 6.611 6.611 6.611 Å, 90.00 90.00 90.00°
Space group Fm-3m (No. 225)
Unique sites:
Ta 0.250 0.250 0.250 [8 per cell]
Si 0.000 0.000 0.000 [4 per cell]
I 0.000 0.000 0.500 [4 per cell]



This record from Alexandria describes an optimized crystal structure of TaSiTcI2. The functional is PBE-GGA.

Computed properties:
magnetic moment = 0.0 μB per formula unit

Cell: 5.319 5.319 4.843 Å, 90.00 90.00 90.00°
Space group P4/mmm (No. 123)
Unique sites:
Ta 0.000 0.000 0.000 [1 per cell]
Si 0.500 0.500 0.000 [1 per cell]
Tc 0.000 0.000 0.500 [1 per cell]
I 0.000 0.500 0.500 [2 per cell]



This record from Alexandria describes an optimized crystal structure of TaSiTe2I. The functional is PBE-GGA.

Computed properties:
ΔE to the lowest computed polymorph = 0.0 meV per atom
magnetic moment = 1.7 μB per formula unit

Cell: 5.419 5.419 5.543 Å, 90.00 90.00 90.00°
Space group P4/mmm (No. 123)
Unique sites:
Ta 0.000 0.000 0.000 [1 per cell]
Si 0.500 0.500 0.500 [1 per cell]
Te 0.000 0.500 0.000 [2 per cell]
I 0.000 0.000 0.500 [1 per cell]



This record from Alexandria describes an optimized crystal structure of TaSiTe2I. The functional is PBE-GGA.

Computed properties:
ΔE to the lowest computed polymorph = 414.4 meV per atom
magnetic moment = 2.5 μB per formula unit

Cell: 5.223 5.223 5.221 Å, 90.00 90.00 90.00°
Space group P4/mmm (No. 123)
Unique sites:
Ta 0.000 0.000 0.000 [1 per cell]
Si 0.500 0.500 0.500 [1 per cell]
Te 0.000 0.500 0.500 [2 per cell]
I 0.500 0.500 0.000 [1 per cell]



| no. | E_form (uncorrected) (kJ/mol of atoms) |
| --- | --- |
| 1 | 81 |
| 2 | 97 |
| 3 | 47 |
| 4 | 137 |
| 5 | 68 |
| 6 | 108 |